Density functional theory data (PBE) for LiCuGeSe3 after structural relaxation.

abc: 3.753 7.240 10.674
angles: 94.08 90.00 90.00
Sites, in units of the cell vectors:
Li 0.250 0.149 0.148
Li 0.750 0.851 0.852
Cu 0.250 0.602 0.051
Cu 0.750 0.398 0.949
Ge 0.250 0.296 0.710
Ge 0.750 0.704 0.290
Se 0.750 0.887 0.115
Se 0.250 0.113 0.885
Se 0.250 0.759 0.431
Se 0.750 0.241 0.569
Se 0.750 0.403 0.177
Se 0.250 0.597 0.823

- Magnetization: 0.00 μB per atom
- Raw formation energy: -2.344 eV per formula unit

Density functional theory data (PBE) for Li2Cu7SiGe2 after structural relaxation.

abc: 3.681 3.681 12.765
angles: 73.49 73.49 90.11
Sites, in units of the cell vectors:
Li 0.814 0.814 0.684
Li 0.186 0.186 0.316
Cu 0.500 0.500 0.000
Cu 0.263 0.263 0.500
Cu 0.737 0.737 0.500
Cu 0.848 0.348 0.153
Cu 0.348 0.848 0.153
Cu 0.652 0.152 0.847
Cu 0.152 0.652 0.847
Si 0.000 0.000 0.000
Ge 0.693 0.693 0.308
Ge 0.307 0.307 0.692

- Magnetization: 0.00 μB per atom
- Raw formation energy: -0.281 eV per formula unit

Density functional theory data (PBE) for Li3Sm2CuGe4 after structural relaxation.

abc: 4.224 4.224 10.074
angles: 90.00 90.00 90.00
Sites, in units of the cell vectors:
Li 0.000 0.000 0.500
Li 0.500 0.000 0.866
Li 0.000 0.500 0.134
Sm 0.500 0.000 0.253
Sm 0.000 0.500 0.747
Cu 0.500 0.500 0.500
Ge 0.500 0.500 0.000
Ge 0.000 0.000 0.000
Ge 0.500 0.000 0.627
Ge 0.000 0.500 0.373

- Formation energy: -0.523 eV per atom
- Magnetization: 0.00 μB per atom